A plane-wave DFT calculation with PBE was carried out for a relaxed structure of Nd2Ho2CBr5.

Unit cell a=9.1927 b=9.1927 c=8.1651 alpha=103.34 beta=103.34 gamma=24.09
Last column: nearest neighbours and their distance in Å.
Positions (direct):
Br 0.8398 0.8398 0.6432  1 Ho 2.87, 2 Nd 2.95
Ho 0.0004 0.0004 0.7997  2 C 2.52
Ho 0.9996 0.9996 0.2003  2 C 2.52
Br 0.5000 0.5000 0.5000  4 Ho 3.11
Nd 0.6441 0.6441 0.0763  1 C 2.52
Nd 0.3559 0.3559 0.9237  1 C 2.52
C 0.5000 0.5000 0.0000  2 Nd 2.52, 4 Ho 2.52
Br 0.1602 0.1602 0.3568  1 Ho 2.87, 2 Nd 2.95
Br 0.8343 0.8343 0.1900  1 Ho 2.95, 2 Nd 2.99
Br 0.1657 0.1657 0.8100  1 Ho 2.95, 2 Nd 2.99

Calculated values
* distance to the lowest polymorph of the same formula: 0.05 eV/f.u.
* V: 27.37 A^3/atom
* uncorrected energy: -5.0509 eV per atom